No. 1
{
  "formula": "BeCuTc4",
  "functional": "PBE",
  "state": "relaxed",
  "spacegroup": "F-43m, No. 216",
  "ef_ev_per_atom": 0.66,
  "e_tot_ev_per_atom": -7.56,
  "lattice_angstrom": [[1.510, -4.251, -2.266], [2.143, -3.681, 2.710], [-2.491, -4.315, 0.812]],
  "species": ["Be", "Cu", "Tc", "Tc", "Tc", "Tc"],
  "fractional_positions": [[0.750, 0.750, 0.750], [0.000, 0.000, 0.000], [0.875, 0.375, 0.375], [0.375, 0.375, 0.875], [0.375, 0.875, 0.375], [0.375, 0.375, 0.375]]
}

No. 2
{
  "formula": "TePtPbI2",
  "functional": "PBE",
  "state": "relaxed",
  "e_above_lowest_polymorph_mev_per_atom": 0,
  "spacegroup": "P4/mmm, No. 123",
  "formation_energy_uncorrected_ev_per_atom": 0.0091,
  "e_tot_ev_per_atom": -3.19,
  "lattice_angstrom": [[5.470, 0.000, 0.000], [0.000, 5.470, 0.000], [0.000, 0.000, 5.443]],
  "species": ["Pb", "I", "I", "Te", "Pt"],
  "fractional_positions": [[0.500, 0.500, 0.500], [0.000, 0.500, 0.000], [0.500, 0.000, 0.000], [0.000, 0.000, 0.500], [0.000, 0.000, 0.000]]
}

No. 3
{
  "formula": "Re4PSe",
  "functional": "PBE",
  "state": "relaxed",
  "spacegroup": "F-43m, No. 216",
  "formation_energy_uncorrected_ev_per_atom": 1.1145,
  "e_tot_ev_per_atom": -8.67,
  "lattice_angstrom": [[0.000, 3.705, 3.705], [3.705, 0.000, 3.705], [3.705, 3.705, 0.000]],
  "species": ["Re", "Re", "Re", "Re", "P", "Se"],
  "fractional_positions": [[0.625, 0.625, 0.125], [0.625, 0.125, 0.625], [0.625, 0.625, 0.625], [0.125, 0.625, 0.625], [0.000, 0.000, 0.000], [0.250, 0.250, 0.250]]
}

No. 4
{
  "formula": "NiBMo2Ir",
  "functional": "PBE",
  "state": "relaxed",
  "spacegroup": "P4/mmm, No. 123",
  "ef_ev_per_atom": 2.26,
  "e_tot_ev_per_atom": -6.34,
  "lattice_angstrom": [[4.710, 0.000, 0.000], [0.000, 4.497, 0.000], [0.000, 0.000, 4.710]],
  "species": ["Ni", "Mo", "Mo", "Ir", "B"],
  "fractional_positions": [[0.000, 0.500, 0.000], [0.000, 0.000, 0.500], [0.500, 0.000, 0.000], [0.000, 0.000, 0.000], [0.500, 0.500, 0.500]]
}